[1]
# TbGdB2Ir2N2

An optimized crystal structure of TbGdB2Ir2N2 (PBE, the Open Quantum Materials Database).

POSCAR file:
```
TbGdB2Ir2N2
1.0
3.751 0.000 0.000
0.000 3.751 0.000
0.000 0.000 7.486
Tb Gd B Ir N
1 1 2 2 2
Direct
0.000 0.000 0.000
0.500 0.500 0.326
0.000 0.000 0.507
0.500 0.500 0.818
0.000 0.500 0.663
0.500 0.000 0.663
0.000 0.000 0.307
0.500 0.500 0.018
```

Summary:
For the total energy, the calculation gives -8.28 eV/atom. The spin magnetization comes out at 0.004 μB per formula unit.

=====

[2]
# SrErAuSe3

An optimized crystal structure of SrErAuSe3 (PBE, the Open Quantum Materials Database).

POSCAR file:
```
SrErAuSe3
1.0
9.146 -2.033 0.000
9.146 2.033 0.000
-1.628 0.000 8.299
Sr Er Au Se
2 2 2 6
Direct
0.128 0.128 0.079
0.872 0.872 0.921
0.164 0.164 0.592
0.836 0.836 0.408
0.455 0.455 0.285
0.545 0.545 0.715
0.000 0.000 0.500
0.312 0.312 0.163
0.325 0.325 0.636
0.500 0.500 0.000
0.675 0.675 0.364
0.688 0.688 0.837
```

Summary:
For the total energy, the calculation gives -4.76 eV/atom. The spin magnetization comes out at 0.003 μB per formula unit.